Entry 1:
Below is BeTe2Se after structural relaxation, with properties calculated at the GGA-PBEsol level.

Relative energy among the computed polymorphs: 0.437 eV/atom
V: 409.7 Å³ per cell
Uncorrected formation energy: 0.588 eV/atom
Total moment: 0.00 μB/f.u.
N(E_F): 12.40 states/eV/cell
Crystal system: trigonal

a = 4.703 Å, b = 4.703 Å, c = 21.393 Å
α = 90.00°, β = 90.00°, γ = 120.00°
Atoms (fractional coordinates):
Be  0.000  0.000  0.000
Be  0.333  0.667  0.667
Be  0.667  0.333  0.333
Te  0.000  0.000  0.105
Te  0.000  0.000  0.895
Te  0.333  0.667  0.562
Te  0.333  0.667  0.772
Te  0.667  0.333  0.228
Te  0.667  0.333  0.438
Se  0.000  0.000  0.500
Se  0.333  0.667  0.167
Se  0.667  0.333  0.833

=====

Entry 2:
Below is NbZnCo3 after structural relaxation, with properties calculated at the GGA-PBEsol level.

Energy relative to the elements: 7.351 eV/f.u.
V: 83.1 Å³ per cell
Total moment: 0.13 μB/f.u.
N(E_F): 5.21 states/eV/cell
Crystal system: cubic

a = 4.364 Å, b = 4.364 Å, c = 4.364 Å
α = 90.00°, β = 90.00°, γ = 90.00°
Atoms (fractional coordinates):
Nb  0.000  0.000  0.000
Zn  0.500  0.500  0.500
Co  0.000  0.000  0.500
Co  0.000  0.500  0.000
Co  0.500  0.000  0.000

=====

Q: Number 1 is which compound?
A: BeTe2Se

=====

Q: What is the formula in the first record?
A: BeTe2Se

=====

Q: total moment of number 1 (BeTe2Se)?
A: 0.00 μB/f.u.